Compound: FeAsF2
Source: Alexandria via LeMat-Bulk
Functional: PBE+U
Structure: optimized geometry

Properties
- offset from the most stable computed form (meV/atom) = 677

```
FeAsF2
1.0
0.0000 2.9858 2.9858
2.9858 0.0000 2.9858
2.9858 2.9858 0.0000
Fe As F
1 1 2
Direct
0.0000 0.0000 0.0000 Fe
0.5000 0.5000 0.5000 As
0.2500 0.2500 0.2500 F
0.7500 0.7500 0.7500 F
```